# 1
This record from Alexandria via LeMat-Bulk describes an optimized crystal structure of Er2Ge2S7. The functional is PBE-GGA.

Properties
The crystal system is monoclinic.

Structure (CIF):
```
data_Er2Ge2S7
_space_group_name_H-M_alt 'P 1 21 1'
_space_group_IT_number 4
_cell_length_a 9.6600
_cell_length_b 6.2002
_cell_length_c 9.7502
_cell_angle_alpha 90.00
_cell_angle_beta 118.67
_cell_angle_gamma 90.00
loop_
_space_group_symop_operation_xyz
'x,y,z'
'-x,y+1/2,-z'
loop_
_atom_site_label
_atom_site_fract_x
_atom_site_fract_y
_atom_site_fract_z
_atom_site_occupancy
Er1 0.1032 0.0000 0.2653 1
Er2 0.3581 0.4813 0.1088 1
Ge1 0.1646 0.0632 0.8337 1
Ge2 0.4815 0.7119 0.4620 1
S1 0.0045 0.6999 0.3932 1
S2 0.0834 0.2336 0.9916 1
S3 0.1742 0.7027 0.8329 1
S4 0.2894 0.3951 0.3770 1
S5 0.3621 0.8798 0.2315 1
S6 0.3621 0.9288 0.5792 1
S7 0.4079 0.1941 0.9310 1
```

# 2
This record from Alexandria via LeMat-Bulk describes an optimized crystal structure of Er6GeS5. The functional is PBE-GGA.

Properties
The density of states at the Fermi level is 9.28 states/eV/cell. The crystal system is monoclinic.

Structure (CIF):
```
data_Er6GeS5
_space_group_name_H-M_alt 'C 1 2/m 1'
_space_group_IT_number 12
_cell_length_a 6.7747
_cell_length_b 11.7206
_cell_length_c 6.7914
_cell_angle_alpha 90.00
_cell_angle_beta 109.31
_cell_angle_gamma 90.00
loop_
_space_group_symop_operation_xyz
'x,y,z'
'-x,-y,-z'
'-x,y,-z'
'x,-y,z'
'x+1/2,y+1/2,z'
'-x+1/2,-y+1/2,-z'
'-x+1/2,y+1/2,-z'
'x+1/2,-y+1/2,z'
loop_
_atom_site_label
_atom_site_fract_x
_atom_site_fract_y
_atom_site_fract_z
_atom_site_occupancy
Er1 0.2502 0.0000 0.2502 1
Er2 0.2497 0.1667 0.7503 1
Ge1 0.0000 0.0000 0.5000 1
S1 0.0000 0.1666 0.0000 1
S2 0.0000 0.3331 0.5000 1
S3 0.0000 0.5000 0.0000 1
```

# 3
This record from Alexandria via LeMat-Bulk describes an optimized crystal structure of Er2GeS. The functional is PBE-GGA.

Properties
The density of states at the Fermi level is 4.09 states/eV/cell. The value obtained for the offset from the most stable computed form is 43.1 meV/atom. The crystal system is trigonal.

Structure (CIF):
```
data_Er2GeS
_space_group_name_H-M_alt 'R -3 m'
_space_group_IT_number 166
_space_group_name_Hall '-R 3 2"'
_cell_length_a 4.0041
_cell_length_b 4.0041
_cell_length_c 19.7193
_cell_angle_alpha 90.00
_cell_angle_beta 90.00
_cell_angle_gamma 120.00
loop_
_atom_site_label
_atom_site_fract_x
_atom_site_fract_y
_atom_site_fract_z
_atom_site_occupancy
Er1 0.0000 0.0000 0.2505 1
Ge1 0.0000 0.0000 0.0000 1
S1 0.0000 0.0000 0.5000 1
```

# 4
This record from Alexandria via LeMat-Bulk describes an optimized crystal structure of Er2GeS4. The functional is PBE-GGA.

Properties
The density of states at the Fermi level is 0.00 states/eV/cell. The crystal system is tetragonal.

Structure (CIF):
```
data_Er2GeS4
_space_group_name_H-M_alt 'I -4 2 m'
_space_group_IT_number 121
_space_group_name_Hall 'I -4 2'
_cell_length_a 6.0439
_cell_length_b 6.0439
_cell_length_c 12.0166
_cell_angle_alpha 90.00
_cell_angle_beta 90.00
_cell_angle_gamma 90.00
loop_
_atom_site_label
_atom_site_fract_x
_atom_site_fract_y
_atom_site_fract_z
_atom_site_occupancy
Er1 0.0000 0.5000 0.2500 1
Ge1 0.0000 0.0000 0.0000 1
S1 0.2458 0.2458 0.1279 1
```

In order of appearance, ΔE_f (raw) = -0.999 -1.814 -1.432 -1.227 eV/atom.